[1]
Material: LaCuHg2Ge
Method: DFT, PBE
State: optimized geometry

Unit cell a=5.3364 b=6.1727 c=5.3364 alpha=90.00 beta=90.00 gamma=90.00
Element x y z (fractional)
Ge (0.0000, 0.0000, 0.0000)
Hg (0.5000, 0.0000, 0.0000)
Hg (0.0000, 0.0000, 0.5000)
Cu (0.5000, 0.5000, 0.5000)
La (0.0000, 0.5000, 0.0000)

Results
The total energy comes out at -12.4 eV/cell. For the calculated formation energy, the calculation gives 35 kJ per mole of atoms.



[2]
Material: TlCoPPd2
Method: DFT, PBE
State: optimized geometry

Unit cell a=4.8679 b=4.0402 c=4.8679 alpha=90.00 beta=90.00 gamma=90.00
Element x y z (fractional)
Tl (0.5000, 0.5000, 0.5000)
Pd (0.5000, 0.0000, 0.0000)
Pd (0.0000, 0.0000, 0.5000)
P (0.0000, 0.5000, 0.0000)
Co (0.0000, 0.0000, 0.0000)

Results
The total energy comes out at -23.6 eV/cell. For the calculated formation energy, the calculation gives 32 kJ per mole of atoms.



[3]
Material: Li2LaMg2Ag2
Method: DFT, PBE
State: optimized geometry

Unit cell a=4.8315 b=4.8452 c=8.2169 alpha=107.52 beta=90.00 gamma=119.91
Element x y z (fractional)
Li (0.1475, 0.2949, 0.4389)
Li (0.8525, 0.7051, 0.5611)
Ag (0.7411, 0.4822, 0.2238)
Ag (0.2589, 0.5178, 0.7762)
Mg (0.4282, 0.8565, 0.2835)
Mg (0.5718, 0.1435, 0.7165)
La (0.0000, 0.0000, 0.0000)

Results
The total energy comes out at -19.0 eV/cell. For the calculated formation energy, the calculation gives -18 kJ per mole of atoms.



[4]
Material: Pm6IrRu
Method: DFT, PBE
State: optimized geometry

Unit cell a=6.9197 b=6.9259 c=6.6634 alpha=58.69 beta=80.58 gamma=71.65
Element x y z (fractional)
Pm (0.2436, 0.2555, 0.0000)
Pm (0.7518, 0.0731, 0.3388)
Pm (0.2482, 0.9269, 0.6612)
Pm (0.7564, 0.7445, 0.0000)
Pm (0.7518, 0.4119, 0.6612)
Pm (0.2482, 0.5881, 0.3388)
Ru (0.0000, 0.0000, 0.0000)
Ir (0.5000, 0.5000, 0.0000)

Results
The total energy comes out at -48.6 eV/cell. For the calculated formation energy, the calculation gives -23 kJ per mole of atoms.



[5]
Material: Ba4InBi4
Method: DFT, PBE
State: optimized geometry

Unit cell a=7.4616 b=10.3406 c=10.3406 alpha=90.00 beta=90.00 gamma=90.00
Element x y z (fractional)
Ba (0.9517, 0.4871, 0.7506)
Ba (0.4517, 0.2506, 0.5129)
Ba (0.0483, 0.9871, 0.2506)
Ba (0.0483, 0.5129, 0.2494)
Ba (0.4517, 0.2494, 0.9871)
Ba (0.5483, 0.7506, 0.0129)
Ba (0.9517, 0.0129, 0.7494)
Ba (0.5483, 0.7494, 0.4871)
Bi (0.4671, 0.5089, 0.7505)
Bi (0.0329, 0.7495, 0.5089)
Bi (0.9671, 0.2495, 0.0089)
Bi (0.5329, 0.4911, 0.2495)
Bi (0.0329, 0.7505, 0.9911)
Bi (0.5329, 0.0089, 0.2505)
Bi (0.9671, 0.2505, 0.4911)
Bi (0.4671, 0.9911, 0.7495)
In (0.7500, 0.2500, 0.2500)
In (0.2500, 0.7500, 0.7500)

Results
The total energy comes out at -65.5 eV/cell. For the calculated formation energy, the calculation gives -73 kJ per mole of atoms.



[6]
Material: LiSmPb6
Method: DFT, PBE
State: optimized geometry

Unit cell a=4.8339 b=4.8339 c=9.9176 alpha=90.00 beta=90.00 gamma=90.00
Element x y z (fractional)
Pb (0.5000, 0.0000, 0.2584)
Pb (0.5000, 0.5000, 0.5000)
Pb (0.5000, 0.0000, 0.7416)
Pb (0.0000, 0.5000, 0.2584)
Pb (0.0000, 0.5000, 0.7416)
Pb (0.5000, 0.5000, 0.0000)
Li (0.0000, 0.0000, 0.5000)
Sm (0.0000, 0.0000, 0.0000)

Results
The total energy comes out at -30.7 eV/cell. For the calculated formation energy, the calculation gives -22 kJ per mole of atoms.